DFT (PBE) results for a geometry-optimized SrCa8Mg4 structure.

Computed properties:
- crystal system = tetragonal
- ΔH_f (0 K) (eV/atom) = -0.02
- space-group type = No. 139

Cell and atoms, written as POSCAR:
```
SrCa8Mg4
1.0
-3.754 -3.180 4.654
2.720 -8.577 1.261
3.424 0.979 8.359
Sr Ca Mg
1 8 4
direct
0.000 0.000 0.000 Sr
0.000 0.346 0.654 Ca
0.000 0.654 0.346 Ca
0.346 0.654 0.654 Ca
0.654 0.346 0.346 Ca
0.500 0.784 0.216 Ca
0.500 0.216 0.784 Ca
0.284 0.216 0.216 Ca
0.716 0.784 0.784 Ca
0.000 0.000 0.500 Mg
0.500 0.000 0.500 Mg
0.000 0.500 0.000 Mg
0.500 0.500 0.000 Mg
```



DFT (PBE) results for a geometry-optimized POs2W structure.

Computed properties:
- crystal system = cubic
- ΔH_f (0 K) (eV/atom) = 0.46
- space-group type = No. 216

Cell and atoms, written as POSCAR:
```
POs2W
1.0
3.168 -2.806 0.985
-0.951 -3.728 2.019
0.306 -3.769 -2.140
P Os W
1 2 1
direct
0.500 0.500 0.500 P
0.000 0.000 0.000 Os
0.750 0.750 0.750 Os
0.250 0.250 0.250 W
```



DFT (PBE) results for a geometry-optimized AcErCu2Ge2 structure.

Computed properties:
- crystal system = trigonal
- ΔH_f (0 K) (eV/atom) = -0.65
- space-group type = No. 164

Cell and atoms, written as POSCAR:
```
AcErCu2Ge2
1.0
-2.563 -2.786 -2.104
3.445 1.705 -1.996
4.420 -5.974 2.526
Ac Er Cu Ge
1 1 2 2
direct
0.000 0.000 0.000 Ac
0.000 0.000 0.500 Er
0.333 0.667 0.703 Cu
0.667 0.333 0.297 Cu
0.333 0.667 0.278 Ge
0.667 0.333 0.722 Ge
```



DFT (PBE) results for a geometry-optimized Pr2AlCuNi6 structure.

Computed properties:
- crystal system = triclinic
- ΔH_f (0 K) (eV/atom) = -0.22
- space-group type = No. 2

Cell and atoms, written as POSCAR:
```
Pr2AlCuNi6
1.0
-3.656 -4.584 -2.196
3.414 -0.546 -4.783
2.329 -5.573 -1.321
Pr Al Cu Ni
2 1 1 6
direct
0.698 0.305 0.607 Pr
0.302 0.695 0.393 Pr
0.000 0.000 0.000 Al
0.500 0.500 0.000 Cu
0.174 0.123 0.490 Ni
0.888 0.664 0.930 Ni
0.340 0.827 0.768 Ni
0.660 0.173 0.232 Ni
0.112 0.336 0.070 Ni
0.826 0.877 0.510 Ni
```



DFT (PBE) results for a geometry-optimized CrIrBr2 structure.

Computed properties:
- crystal system = orthorhombic
- relative energy among the computed polymorphs (kJ/mol of atoms) = 39.91
- energy relative to the elements, uncorrected (eV/atom) = 0.43
- space-group type = No. 44

Cell and atoms, written as POSCAR:
```
CrIrBr2
1.0
-7.436 1.016 -2.262
-7.243 0.770 2.896
7.634 1.649 -0.672
Br Cr Ir
2 1 1
direct
0.009 0.009 0.000 Br
0.766 0.266 0.500 Br
0.429 0.429 0.000 Cr
0.296 0.796 0.500 Ir
```



DFT (PBE) results for a geometry-optimized Pr2SmAu2 structure.

Computed properties:
- crystal system = trigonal
- ΔH_f (0 K) (eV/atom) = -0.54
- relative energy among the computed polymorphs (kJ/mol of atoms) = 8.40
- space-group type = No. 166

Cell and atoms, written as POSCAR:
```
Pr2SmAu2
1.0
5.167 0.002 0.001
2.583 4.476 0.001
2.582 1.492 5.921
Pr Sm Au
2 1 2
direct
0.219 0.719 0.344 Pr
0.781 0.281 0.656 Pr
0.000 0.500 0.000 Sm
0.589 0.089 0.233 Au
0.411 0.911 0.767 Au
```



DFT (PBE) results for a geometry-optimized Pa4NiPt structure.

Computed properties:
- crystal system = tetragonal
- ΔH_f (0 K) (eV/atom) = -0.39
- space-group type = No. 124

Cell and atoms, written as POSCAR:
```
Pa4NiPt
1.0
5.545 0.000 0.000
0.000 6.864 0.000
0.000 0.000 6.864
Pa Ni Pt
8 2 2
direct
0.000 0.155 0.641 Pa
0.000 0.845 0.359 Pa
0.000 0.359 0.155 Pa
0.000 0.641 0.845 Pa
0.500 0.845 0.641 Pa
0.500 0.155 0.359 Pa
0.500 0.641 0.155 Pa
0.500 0.359 0.845 Pa
0.250 0.500 0.500 Ni
0.750 0.500 0.500 Ni
0.250 0.000 0.000 Pt
0.750 0.000 0.000 Pt
```



no.,magnetic moment (μB/cell)
1,0.000
2,0.000
3,0.000
4,0.000
5,3.734
6,0.000
7,0.000